! Pr3InNiSn2Ir2, optimized geometry, DFT PBE; values from VASP
! Energy   -6.037 eV per atom
&SYSTEM
  ibrav = 0, nat = 9, ntyp = 5
/
ATOMIC_SPECIES
Pr 140.91 Pr.upf
In 114.82 In.upf
Ni 58.69 Ni.upf
Sn 118.71 Sn.upf
Ir 192.22 Ir.upf
CELL_PARAMETERS angstrom
4.145 0.000 0.000
0.000 6.514 3.763
0.000 -6.514 3.763
ATOMIC_POSITIONS crystal
Pr 0.000 0.000 0.000
Pr 0.000 0.413 0.826
Pr 0.000 0.826 0.413
In 0.500 0.659 0.659
Ni 0.000 0.405 0.405
Sn 0.500 0.170 0.414
Sn 0.500 0.414 0.170
Ir 0.500 0.084 0.748
Ir 0.500 0.748 0.084